1.
The following is a PBE calculation of an optimized crystal structure of Fe3Ir4Ru2, from Alexandria via LeMat-Bulk.

Unit cell a=2.7005 b=4.6445 c=10.2686 alpha=89.57 beta=82.44 gamma=73.10
Fractional positions:
Fe (0.0000, 0.0000, 0.0000)
Fe (0.6686, 0.2172, 0.4455)
Fe (0.3314, 0.7828, 0.5545)
Ru (0.3323, 0.1096, 0.2259)
Ru (0.6677, 0.8904, 0.7741)
Ir (0.3342, 0.4420, 0.8896)
Ir (0.6658, 0.5580, 0.1104)
Ir (0.9952, 0.6692, 0.3404)
Ir (0.0048, 0.3308, 0.6596)

space group = C2/m
energy of formation = 0.004 eV/atom

2.
The following is a PBE calculation of an optimized crystal structure of PrHo2Er, from Alexandria via LeMat-Bulk.

Unit cell a=4.1672 b=4.1672 c=7.4867 alpha=90.00 beta=90.00 gamma=90.00
Fractional positions:
Er (0.5000, 0.5000, 0.0000)
Ho (0.0000, 0.0000, 0.2407)
Ho (0.0000, 0.0000, 0.7593)
Pr (0.5000, 0.5000, 0.5000)

space group = P4/mmm
energy of formation = 0.120 eV/atom
distance to the lowest polymorph of the same formula = 0.46 eV/f.u.

3.
The following is a PBE calculation of an optimized crystal structure of Ge2Au2I, from Alexandria via LeMat-Bulk.

Unit cell a=8.2784 b=8.2784 c=3.5341 alpha=90.00 beta=90.00 gamma=90.00
Fractional positions:
Ge (0.2135, 0.2865, 0.0000)
Ge (0.7135, 0.2135, 0.0000)
Ge (0.7865, 0.7135, 0.0000)
Ge (0.2865, 0.7865, 0.0000)
I (0.5000, 0.5000, 0.0000)
I (0.0000, 0.0000, 0.0000)
Au (0.1178, 0.6178, 0.5000)
Au (0.3822, 0.1178, 0.5000)
Au (0.8822, 0.3822, 0.5000)
Au (0.6178, 0.8822, 0.5000)

space group = P4/mbm
distance to the lowest polymorph of the same formula = 0.46 eV/f.u.